1.
Below is crystalline PtW3S at its relaxed geometry, with properties calculated at the GGA-PBE level.

Magnetic moment: 0.00 μB/atom
Formation energy without anion corrections: 0.8119 eV/atom
Total energy: -8.994 eV per atom
DOS(E_F): 1.182 states/eV/atom

abc: 4.385 4.385 4.385
angles: 90.00 90.00 90.00
Space group Pm-3m (No. 221)
Symmetry-distinct sites (fractional):
Pt: 0.000 0.000 0.000 (multiplicity 1)
W: 0.000 0.500 0.500 (multiplicity 3)
S: 0.500 0.500 0.500 (multiplicity 1)



2.
Below is crystalline PtWS2 at its relaxed geometry, with properties calculated at the GGA-PBE level.

Magnetic moment: 0.00 μB/atom
Formation energy without anion corrections: 0.0647 eV/atom
Total energy: -6.747 eV per atom
DOS(E_F): 0.235 states/eV/atom

abc: 5.528 5.528 10.192
angles: 90.00 90.00 90.00
Space group I-42d (No. 122)
Symmetry-distinct sites (fractional):
Pt: 0.000 0.000 0.000 (multiplicity 4)
W: 0.000 0.000 0.500 (multiplicity 4)
S: 0.238 0.250 0.625 (multiplicity 8)



3.
Below is crystalline PtWS2 at its relaxed geometry, with properties calculated at the GGA-PBE level.

Magnetic moment: 0.00 μB/atom
Formation energy without anion corrections: 0.3674 eV/atom
Total energy: -6.445 eV per atom
DOS(E_F): 1.094 states/eV/atom

abc: 6.155 6.155 6.155
angles: 90.00 90.00 90.00
Space group Fm-3m (No. 225)
Symmetry-distinct sites (fractional):
Pt: 0.000 0.000 0.000 (multiplicity 4)
W: 0.000 0.000 0.500 (multiplicity 4)
S: 0.250 0.250 0.250 (multiplicity 8)



4.
Below is crystalline Pt3WS at its relaxed geometry, with properties calculated at the GGA-PBE level.

Magnetic moment: 0.00 μB/atom
Formation energy without anion corrections: 1.4975 eV/atom
Total energy: -5.543 eV per atom
DOS(E_F): 1.427 states/eV/atom

abc: 4.850 4.850 4.850
angles: 90.00 90.00 90.00
Space group Pm-3m (No. 221)
Symmetry-distinct sites (fractional):
Pt: 0.000 0.000 0.500 (multiplicity 3)
W: 0.000 0.000 0.000 (multiplicity 1)
S: 0.500 0.500 0.500 (multiplicity 1)



5.
Below is crystalline Pt3WS at its relaxed geometry, with properties calculated at the GGA-PBE level.

Magnetic moment: 0.63 μB/atom
Formation energy without anion corrections: 0.9012 eV/atom
Total energy: -6.139 eV per atom
DOS(E_F): 0.635 states/eV/atom

abc: 4.483 4.483 4.483
angles: 90.00 90.00 90.00
Space group Pm-3m (No. 221)
Symmetry-distinct sites (fractional):
Pt: 0.000 0.000 0.500 (multiplicity 3)
W: 0.500 0.500 0.500 (multiplicity 1)
S: 0.000 0.000 0.000 (multiplicity 1)



6.
Below is crystalline PtWS2 at its relaxed geometry, with properties calculated at the GGA-PBE level.

Magnetic moment: 0.00 μB/atom
Formation energy without anion corrections: -0.3026 eV/atom
Total energy: -7.115 eV per atom
DOS(E_F): 0.826 states/eV/atom

abc: 3.1336 3.1336 23.4255
angles: 90.00 90.00 120.00
Space group R-3m (No. 166, hexagonal axes)
Symmetry-distinct sites (fractional):
Pt: 0.0000 0.0000 0.0000 (multiplicity 3)
W: 0.0000 0.0000 0.5000 (multiplicity 3)
S: 0.0000 0.0000 0.0976 (multiplicity 6)



7.
Below is crystalline PtWS2 at its relaxed geometry, with properties calculated at the GGA-PBE level.

Magnetic moment: 0.00 μB/atom
Formation energy without anion corrections: 0.3956 eV/atom
Total energy: -6.417 eV per atom
DOS(E_F): 0.951 states/eV/atom

abc: 3.2984 3.2984 22.6295
angles: 90.00 90.00 120.00
Space group R-3m (No. 166, hexagonal axes)
Symmetry-distinct sites (fractional):
Pt: 0.0000 0.0000 0.0000 (multiplicity 3)
W: 0.0000 0.0000 0.5000 (multiplicity 3)
S: 0.0000 0.0000 0.3989 (multiplicity 6)



8.
Below is crystalline PtW3S at its relaxed geometry, with properties calculated at the GGA-PBE level.

Magnetic moment: 0.00 μB/atom
Formation energy without anion corrections: 2.3820 eV/atom
Total energy: -7.424 eV per atom
DOS(E_F): 1.124 states/eV/atom

abc: 4.808 4.808 4.808
angles: 90.00 90.00 90.00
Space group Pm-3m (No. 221)
Symmetry-distinct sites (fractional):
Pt: 0.000 0.000 0.000 (multiplicity 1)
W: 0.000 0.000 0.500 (multiplicity 3)
S: 0.500 0.500 0.500 (multiplicity 1)



- The highest formation energy without anion corrections belongs to which entry?
  number 8



- The highest magnetic moment belongs to which entry?
  number 5